No. 1
Crystalline NbSbAs3 at its relaxed geometry, computed with PBE-GGA.

abc: 5.0986 5.0986 5.0986
angles: 90.00 90.00 90.00
Closest atoms and distances in Å follow each position.
Space group Pm-3m (No. 221)
Asymmetric unit:
Nb 0.0000 0.0000 0.0000 (multiplicity 1)  12 As 3.61
Sb 0.5000 0.5000 0.5000 (multiplicity 1)  6 As 2.55
As 0.0000 0.5000 0.5000 (multiplicity 3)  2 Sb 2.55

Results
Formation energy from raw total energies   1.4060 eV/atom

***

No. 2
Crystalline Nb4SbAs at its relaxed geometry, computed with PBE-GGA.

abc: 14.1503 5.1817 6.6356
angles: 90.00 103.84 90.00
Closest atoms and distances in Å follow each position.
Space group C2/c (No. 15)
Asymmetric unit:
Nb 0.0719 0.1114 0.4288 (multiplicity 8)  1 As 2.55, 3 Nb 2.70-2.82
Nb 0.1772 0.3269 0.1080 (multiplicity 8)  2 As 2.59, 2 Nb 2.82-2.89
Sb 0.0000 0.3846 0.7500 (multiplicity 4)  10 Nb 2.91-3.25
As 0.2500 0.2500 0.5000 (multiplicity 4)  6 Nb 2.55-2.59

Results
Formation energy from raw total energies   -0.0030 eV/atom

***

No. 3
Crystalline Nb2SbAs at its relaxed geometry, computed with PBE-GGA.

abc: 3.6159 3.6159 24.5700
angles: 90.00 90.00 120.00
Closest atoms and distances in Å follow each position.
Space group R-3m (No. 166, hexagonal axes)
Asymmetric unit:
Nb 0.0000 0.0000 0.1088 (multiplicity 6)  3 As 2.53, 1 Sb 2.67
Sb 0.0000 0.0000 0.0000 (multiplicity 3)  2 Nb 2.67
As 0.0000 0.0000 0.5000 (multiplicity 3)  6 Nb 2.53

Results
Formation energy from raw total energies   0.1505 eV/atom

***

No. 4
Crystalline Nb2SbAs at its relaxed geometry, computed with PBE-GGA.

abc: 4.1162 4.1162 19.3017
angles: 90.00 90.00 90.00
Closest atoms and distances in Å follow each position.
Space group I-42d (No. 122)
Asymmetric unit:
Nb 0.2388 0.2500 0.1250 (multiplicity 8)  2 As 2.80, 2 Sb 2.83, 4 Nb 2.85-2.98
Sb 0.0000 0.0000 0.5000 (multiplicity 4)  4 Nb 2.83, 4 As 2.91
As 0.0000 0.0000 0.0000 (multiplicity 4)  4 Nb 2.80, 4 Sb 2.91

Results
Formation energy from raw total energies   0.2256 eV/atom

***

No. 5
Crystalline Nb2SbAs2 at its relaxed geometry, computed with PBE-GGA.

abc: 3.7622 3.7622 13.7142
angles: 90.00 90.00 90.00
Closest atoms and distances in Å follow each position.
Space group I4/mmm (No. 139)
Asymmetric unit:
Nb 0.0000 0.0000 0.1098 (multiplicity 4)  4 As 2.69
Sb 0.0000 0.0000 0.5000 (multiplicity 2)  8 Nb 3.06
As 0.0000 0.5000 0.2500 (multiplicity 4)  4 As 2.66, 4 Nb 2.69

Results
Formation energy from raw total energies   -0.1489 eV/atom

***

No. 6
Crystalline NbSbAs2Se at its relaxed geometry, computed with PBE-GGA.

abc: 5.1429 5.1429 5.2095
angles: 90.00 90.00 90.00
Closest atoms and distances in Å follow each position.
Space group P4/mmm (No. 123)
Asymmetric unit:
Nb 0.0000 0.0000 0.0000 (multiplicity 1)  4 Se 3.64, 8 As 3.66
Sb 0.5000 0.5000 0.5000 (multiplicity 1)  4 As 2.57, 2 Se 2.60
As 0.0000 0.5000 0.5000 (multiplicity 2)  2 Sb 2.57
Se 0.5000 0.5000 0.0000 (multiplicity 1)  2 Sb 2.60

Results
Formation energy from raw total energies   1.1690 eV/atom

***

| no. | total moment (Bohr magnetons per cell) |
| --- | --- |
| 1 | 0.05 |
| 2 | 0.00 |
| 3 | 0.00 |
| 4 | 0.00 |
| 5 | 0.00 |
| 6 | 1.98 |